12
Lattice="4.2757 0.0000 0.0000 0.0000 4.2757 0.0000 0.0000 0.0000 12.8350" Properties=species:S:1:pos:R:3 comment="PBE CeEr2Ga9, optimized geometry" crystal_system=tetragonal sg="No. 123" energy_ev_per_cell=-48.590 formation_energy_ev_per_atom=-0.524 pbc="T T T"
Ga 2.1378 2.1378 4.2794
Ga 0.0000 2.1378 6.4175
Ga 2.1378 2.1378 8.5556
Ga 2.1378 0.0000 10.6493
Ce 0.0000 0.0000 0.0000
Er 0.0000 0.0000 8.5184
Er 0.0000 0.0000 4.3166
Ga 0.0000 2.1378 2.1857
Ga 0.0000 2.1378 10.6493
Ga 2.1378 2.1378 0.0000
Ga 2.1378 0.0000 2.1857
Ga 2.1378 0.0000 6.4175



12
Lattice="-0.7488 5.4558 0.7265 -4.8754 2.3299 -1.2868 -4.8385 1.0627 8.2673" Properties=species:S:1:pos:R:3 comment="PBE Ce3ErGa8, optimized geometry" crystal_system=trigonal sg="No. 160" energy_ev_per_cell=-52.881 formation_energy_ev_per_atom=-0.525 pbc="T T T"
Ce -5.2478 4.4157 3.9005
Ga -3.1689 1.9261 3.5047
Ga -3.3827 3.6056 1.3354
Ce -4.8208 1.0719 8.2168
Ga -6.1555 6.8702 5.7675
Er -6.7314 7.2132 2.5979
Ga -8.2114 5.3129 4.7645
Ga -5.8098 4.7655 0.6948
Ce -6.3468 3.8474 7.0354
Ga -8.5844 8.0309 5.1264
Ga -8.4083 6.3461 7.3812
Ga -3.7555 6.3216 1.6971



10
Lattice="3.3086 0.0000 0.0000 0.0000 3.3086 0.0000 0.0000 0.0000 20.8194" Properties=species:S:1:pos:R:3 comment="PBE Ce4ErGa5, optimized geometry" crystal_system=tetragonal sg="No. 123" energy_ev_per_cell=-48.509 formation_energy_ev_per_atom=-0.508 pbc="T T T"
Ga 1.6543 1.6543 18.8529
Ce 0.0000 0.0000 16.7623
Ce 0.0000 0.0000 12.5238
Ce 0.0000 0.0000 4.0571
Ga 1.6543 1.6543 14.6400
Ce 0.0000 0.0000 8.2957
Ga 1.6543 1.6543 6.1795
Ga 1.6543 1.6543 1.9665
Ga 1.6543 1.6543 10.4097
Er 0.0000 0.0000 0.0000



4
Lattice="3.3842 0.0000 0.0000 0.0000 3.3842 0.0000 0.0000 0.0000 7.9397" Properties=species:S:1:pos:R:3 comment="PBE CeErGa2, optimized geometry" crystal_system=tetragonal sg="No. 123" energy_ev_per_cell=-18.686 formation_energy_ev_per_atom=-0.534 pbc="T T T"
Ga 0.0000 0.0000 6.0267
Er 1.6921 1.6921 0.0000
Ce 1.6921 1.6921 3.9699
Ga 0.0000 0.0000 1.9130



8
Lattice="4.8253 0.0000 1.4244 2.2024 4.2934 1.4244 0.0278 0.0170 8.7915" Properties=species:S:1:pos:R:3 comment="PBE CeEr3Ga4, optimized geometry" crystal_system=trigonal sg="No. 166" energy_ev_per_cell=-36.106 formation_energy_ev_per_atom=-0.547 pbc="T T T"
Ga 4.3835 2.6780 2.9210
Ga 6.1487 3.7563 5.8268
Er 5.2975 3.2363 8.7105
Ce 0.0000 0.0000 0.0000
Ga 0.9068 0.5540 5.8134
Er 3.5278 2.1552 5.8201
Er 1.7581 1.0740 2.9298
Ga 2.6720 1.6323 8.7193



4
Lattice="-0.8906 -2.4311 4.5183 -1.3867 -5.0195 0.0269 3.3361 -3.6138 1.7141" Properties=species:S:1:pos:R:3 comment="PBE CeEr2Ga, optimized geometry" crystal_system=cubic sg="No. 225" energy_ev_per_cell=-18.214 formation_energy_ev_per_atom=-0.032 pbc="T T T"
Er 0.2634 -2.7658 1.5648
Ce 0.5294 -5.5322 3.1297
Ga 0.0000 0.0000 0.0000
Er 0.7953 -8.2986 4.6946



4
Lattice="-1.7983 0.4892 -2.9124 2.7870 -0.8469 -1.8631 -2.4810 -8.4222 0.1171" Properties=species:S:1:pos:R:3 comment="PBE CeEr2Ga, optimized geometry" crystal_system=tetragonal sg="No. 123" energy_ev_per_cell=-19.088 formation_energy_ev_per_atom=-0.250 pbc="T T T"
Er -0.5252 -1.7830 0.0248
Ce -0.7462 -4.3900 -2.3292
Er -1.9558 -6.6392 0.0923
Ga 0.4943 -0.1788 -2.3878



7
Lattice="-3.4010 -0.7924 -2.1088 0.8179 -3.1928 -0.1192 -7.5543 -2.2745 9.0919" Properties=species:S:1:pos:R:3 comment="PBE Ce2Er2Ga3, optimized geometry" crystal_system=orthorhombic sg="No. 65" energy_ev_per_cell=-32.966 formation_energy_ev_per_atom=-0.413 pbc="T T T"
Ce -3.7561 -2.7834 3.1578
Ga -5.9602 -1.7630 6.3288
Ga 0.0000 0.0000 0.0000
Er -8.0262 -4.0042 6.5573
Ga -4.9951 -1.3040 0.6542
Er -2.1112 -2.2556 0.3066
Ce -6.3813 -3.4764 3.7061



7
Lattice="4.0213 0.0000 -0.9169 -0.2221 4.1705 -0.9743 0.0638 0.0311 9.5569" Properties=species:S:1:pos:R:3 comment="PBE CeEr2Ga4, optimized geometry" crystal_system=orthorhombic sg="No. 71" energy_ev_per_cell=-31.466 formation_energy_ev_per_atom=-0.614 pbc="T T T"
Ga 0.1561 2.3732 0.6846
Er 0.7260 0.7825 3.1840
Ce 2.0107 0.0000 -0.4584
Ga 2.4844 2.7156 1.6194
Er 3.1370 3.4191 4.4817
Ga 1.3786 1.4860 6.0464
Ga 3.7069 1.8284 6.9812



4
Lattice="-2.6822 1.1103 3.2501 1.6500 -2.8986 2.3519 5.0421 3.0370 0.2055" Properties=species:S:1:pos:R:3 comment="PBE CeErGa2, optimized geometry" crystal_system=orthorhombic sg="No. 38" energy_ev_per_cell=-18.696 formation_energy_ev_per_atom=-0.536 pbc="T T T"
Ga 4.6933 1.3042 1.8556
Er 1.7877 0.3418 2.7079
Ce 3.0442 3.8097 2.5595
Ga 2.7635 1.6817 0.1338



4
Lattice="4.9144 0.0000 0.0000 2.4572 4.2560 0.0000 2.4572 1.4187 5.5003" Properties=species:S:1:pos:R:3 comment="PBE CeEr2Ga, optimized geometry" crystal_system=trigonal sg="No. 160" energy_ev_per_cell=-18.115 formation_energy_ev_per_atom=-0.007 pbc="T T T"
Ce 4.9144 2.8373 2.9185
Er 2.4572 1.4187 0.9673
Er 2.4572 1.4187 4.7084
Ga 7.3715 4.2560 5.1566



12
Lattice="-2.4581 6.2337 1.6073 -5.5180 -1.0321 -4.4358 0.2671 -5.4314 6.7017" Properties=species:S:1:pos:R:3 comment="PBE CeEr3Ga2, optimized geometry" crystal_system=orthorhombic sg="No. 72" energy_ev_per_cell=-53.022 formation_energy_ev_per_atom=-0.139 pbc="T T T"
Ga -3.1528 -0.8558 4.1211
Ga -2.7331 3.5152 2.5820
Er -4.6857 1.2787 2.6464
Ga -4.5563 0.6260 -0.2479
Er -5.3675 2.3427 -2.5232
Er -3.0233 -1.5085 1.2269
Er -5.7823 -2.0246 -0.9910
Er -2.6086 2.8588 -0.3053
Ce -2.7590 -0.5161 -2.2179
Ce 0.0000 0.0000 0.0000
Er -1.9267 1.7947 4.8643
Ga -4.9759 -3.7451 1.2913



10
Lattice="-0.7946 -3.6588 2.0688 6.0434 -0.4390 1.5449 -4.4047 5.0322 7.2076" Properties=species:S:1:pos:R:3 comment="PBE Ce2ErGa2, optimized geometry" crystal_system=monoclinic sg="No. 11" energy_ev_per_cell=-48.448 formation_energy_ev_per_atom=-0.348 pbc="T T T"
Ga -2.3642 3.8658 8.1398
Ga -2.2773 -0.6187 4.6645
Ga 3.2083 -2.9314 2.6815
Ga 3.1214 1.5531 6.1568
Ce 0.8060 -0.2557 6.4908
Ce 0.9391 2.9862 7.8529
Ce 0.0381 1.1901 4.3305
Ce -0.0950 -2.0518 2.9684
Er 3.2171 0.0055 3.4566
Er -2.3730 0.9289 7.3647



4
Lattice="3.5725 0.0000 0.0000 1.7863 3.0939 0.0000 1.7863 1.0313 8.9984" Properties=species:S:1:pos:R:3 comment="PBE CeErGa2, optimized geometry" crystal_system=trigonal sg="No. 166" energy_ev_per_cell=-17.876 formation_energy_ev_per_atom=-0.331 pbc="T T T"
Er 0.0000 0.0000 0.0000
Ga 1.7863 1.0313 2.1832
Ce 3.5725 2.0626 4.4992
Ga 5.3588 3.0939 6.8153



10
Lattice="4.4200 0.0000 0.0000 0.0000 7.6736 0.0000 0.0000 0.0000 7.6736" Properties=species:S:1:pos:R:3 comment="PBE Ce2ErGa2, optimized geometry" crystal_system=tetragonal sg="No. 127" energy_ev_per_cell=-49.060 formation_energy_ev_per_atom=-0.409 pbc="T T T"
Ga 0.0000 0.9451 2.8917
Ce 2.2100 6.3715 2.5347
Ga 0.0000 2.8917 6.7285
Ce 2.2100 1.3021 5.1389
Ce 2.2100 2.5347 1.3021
Er 0.0000 0.0000 0.0000
Ga 0.0000 6.7285 4.7819
Er 0.0000 3.8368 3.8368
Ga 0.0000 4.7819 0.9451
Ce 2.2100 5.1389 6.3715



10
Lattice="-1.8840 2.2347 1.9507 0.7981 -1.8439 2.8830 14.8180 10.3144 2.4949" Properties=species:S:1:pos:R:3 comment="PBE CeEr4Ga5, optimized geometry" crystal_system=tetragonal sg="No. 123" energy_ev_per_cell=-44.887 formation_energy_ev_per_atom=-0.557 pbc="T T T"
Ga 1.0596 1.3109 2.6867
Er 3.0478 2.1215 0.5131
Er 11.7703 8.1930 1.9818
Ga 12.6725 9.3944 4.6420
Er 5.9541 4.1445 1.0025
Ce 0.0000 0.0000 0.0000
Ga 9.7722 7.3756 4.1537
Er 8.8640 6.1700 1.4924
Ga 6.8661 5.3526 3.6643
Ga 3.9599 3.3297 3.1750



4
Lattice="-2.2364 4.6132 -1.0048 -3.8753 1.7416 3.0400 0.8095 4.0479 3.2019" Properties=species:S:1:pos:R:3 comment="PBE CeErGaHg, optimized geometry" crystal_system=cubic sg="No. 216" energy_ev_per_cell=-15.522 formation_energy_ev_per_atom=-0.424 pbc="T T T"
Hg -3.9766 7.8020 3.9278
Ce -2.6511 5.2013 2.6186
Ga -1.3255 2.6007 1.3093
Er 0.0000 0.0000 0.0000



4
Lattice="-2.8797 4.3324 0.6310 -2.3750 2.1914 -4.1253 -5.2159 -0.2323 -0.4489" Properties=species:S:1:pos:R:3 comment="PBE CeErInGa, optimized geometry" crystal_system=cubic sg="No. 216" energy_ev_per_cell=-17.981 formation_energy_ev_per_atom=-0.430 pbc="T T T"
Ce -5.2353 3.1458 -1.9716
Er 0.0000 0.0000 0.0000
Ga -2.6176 1.5729 -0.9858
In -7.8529 4.7186 -2.9575



4
Lattice="-2.6767 2.0553 -0.4861 -0.8114 -1.7252 -2.8268 -4.8583 -5.2411 4.5932" Properties=species:S:1:pos:R:3 comment="PBE CeErInGa, optimized geometry" crystal_system=tetragonal sg="No. 99" energy_ev_per_cell=-18.134 formation_energy_ev_per_atom=-0.468 pbc="T T T"
In -4.1267 -4.4518 3.9014
Er -4.5992 -2.9151 1.0429
Ce -2.3549 -0.4939 -1.0790
Ga -1.7740 -1.9137 1.6771



4
Lattice="-4.8736 0.0635 1.5227 -2.0713 -4.1651 2.1061 -1.1192 -0.0544 4.9818" Properties=species:S:1:pos:R:3 comment="PBE LiCeErGa, optimized geometry" crystal_system=cubic sg="No. 216" energy_ev_per_cell=-16.304 formation_energy_ev_per_atom=-0.217 pbc="T T T"
Li -6.0481 -3.1170 6.4580
Ce -4.0321 -2.0780 4.3053
Ga -2.0160 -1.0390 2.1527
Er 0.0000 0.0000 0.0000



4
Lattice="5.1885 0.0000 0.0000 2.5943 4.4934 0.0000 2.5943 1.4978 4.2364" Properties=species:S:1:pos:R:3 comment="PBE CeErMgGa, optimized geometry" crystal_system=cubic sg="No. 216" energy_ev_per_cell=-16.161 formation_energy_ev_per_atom=-0.261 pbc="T T T"
Ga 5.1885 2.9956 2.1182
Ce 2.5943 1.4978 1.0591
Mg 0.0000 0.0000 0.0000
Er 7.7828 4.4934 3.1773



4
Lattice="5.0256 0.0000 0.0000 2.5128 4.3523 0.0000 2.5128 1.4508 4.1033" Properties=species:S:1:pos:R:3 comment="PBE CeErMnGa, optimized geometry" crystal_system=cubic sg="No. 216" energy_ev_per_cell=-23.220 formation_energy_ev_per_atom=-0.132 pbc="T T T"
Er 0.0000 0.0000 0.0000
Ce 5.0256 2.9015 2.0517
Ga 7.5383 4.3523 3.0775
Mn 2.5128 1.4508 1.0258



4
Lattice="5.3641 0.0000 0.0000 2.6820 4.6454 0.0000 2.6820 1.5485 4.3798" Properties=species:S:1:pos:R:3 comment="PBE CeNdErGa, optimized geometry" crystal_system=cubic sg="No. 216" energy_ev_per_cell=-18.574 formation_energy_ev_per_atom=-0.071 pbc="T T T"
Er 8.0461 4.6454 3.2848
Nd 5.3641 3.0970 2.1899
Ce 0.0000 0.0000 0.0000
Ga 2.6820 1.5485 1.0949



4
Lattice="4.9593 0.0000 0.0000 2.4796 4.2948 0.0000 2.4796 1.4316 4.0492" Properties=species:S:1:pos:R:3 comment="PBE CeErGaNi, optimized geometry" crystal_system=cubic sg="No. 216" energy_ev_per_cell=-20.784 formation_energy_ev_per_atom=-0.370 pbc="T T T"
Er 4.9593 2.8632 2.0246
Ga 7.4389 4.2948 3.0369
Ni 2.4796 1.4316 1.0123
Ce 0.0000 0.0000 0.0000



4
Lattice="5.1855 0.0000 0.0000 2.5928 4.4908 0.0000 2.5928 1.4969 4.2340" Properties=species:S:1:pos:R:3 comment="PBE CeErPaGa, optimized geometry" crystal_system=cubic sg="No. 216" energy_ev_per_cell=-22.666 formation_energy_ev_per_atom=0.088 pbc="T T T"
Er 2.5928 1.4969 1.0585
Pa 0.0000 0.0000 0.0000
Ga 5.1855 2.9939 2.1170
Ce 7.7783 4.4908 3.1755



4
Lattice="5.0464 0.0000 0.0000 2.5232 4.3703 0.0000 2.5232 1.4568 4.1203" Properties=species:S:1:pos:R:3 comment="PBE CeErGaPt, optimized geometry" crystal_system=cubic sg="No. 216" energy_ev_per_cell=-22.629 formation_energy_ev_per_atom=-0.766 pbc="T T T"
Ce 5.0464 2.9135 2.0602
Er 0.0000 0.0000 0.0000
Pt 7.5695 4.3703 3.0902
Ga 2.5232 1.4568 1.0301



4
Lattice="3.8274 0.0000 0.0000 0.0000 4.4753 0.0000 -1.9137 0.0000 5.4383" Properties=species:S:1:pos:R:3 comment="PBE CeErGaPt, optimized geometry" crystal_system=orthorhombic sg="No. 38" energy_ev_per_cell=-22.953 formation_energy_ev_per_atom=-0.847 pbc="T T T"
Er 0.0000 0.0000 1.5162
Pt 1.9137 2.2376 0.8571
Ce 1.9137 2.2376 3.8750
Ga 0.0000 0.0000 4.6282